Entry 1:
# PBE-GGA PmDy3Te6, relaxed
data_PmDy3Te6
_chemical_formula_sum 'Pm2 Dy6 Te12'
_space_group_name_H-M_alt 'P 1'
_space_group_IT_number 1
_cell_length_a 4.381
_cell_length_b 12.495
_cell_length_c 12.846
_cell_angle_alpha 109.30
_cell_angle_beta 90.00
_cell_angle_gamma 90.00
loop_
_space_group_symop_operation_xyz
'x,y,z'
loop_
_atom_site_label
_atom_site_fract_x
_atom_site_fract_y
_atom_site_fract_z
Te1 0.750 0.915 0.098
Dy1 0.750 0.155 0.082
Te2 0.250 0.886 0.532
Te3 0.250 0.608 0.939
Te4 0.750 0.806 0.750
Te5 0.250 0.194 0.250
Dy2 0.250 0.317 0.498
Dy3 0.250 0.845 0.918
Dy4 0.250 0.566 0.166
Pm1 0.750 0.046 0.696
Te6 0.750 0.744 0.278
Dy5 0.750 0.683 0.502
Te7 0.250 0.256 0.722
Pm2 0.250 0.954 0.304
Te8 0.750 0.483 0.617
Te9 0.250 0.517 0.383
Te10 0.750 0.392 0.061
Te11 0.250 0.085 0.902
Te12 0.750 0.114 0.468
Dy6 0.750 0.434 0.834
# Total moment (Bohr magnetons per cell): 0.00
# Polymorph energy (0 for the lowest one) (meV/atom): 0
# Crystal system: monoclinic
# Space group: No. 11
# DFT total energy (eV per atom): -5.141
# Uncorrected formation energy (eV/atom): -1.40

Entry 2:
# PBE-GGA KZr2ZnTc, relaxed
data_KZr2ZnTc
_chemical_formula_sum 'K1 Zr2 Zn1 Tc1'
_space_group_name_H-M_alt 'P 1'
_space_group_IT_number 1
_cell_length_a 4.936
_cell_length_b 6.435
_cell_length_c 4.936
_cell_angle_alpha 90.00
_cell_angle_beta 90.00
_cell_angle_gamma 90.00
loop_
_space_group_symop_operation_xyz
'x,y,z'
loop_
_atom_site_label
_atom_site_fract_x
_atom_site_fract_y
_atom_site_fract_z
Zn1 0.500 0.500 0.500
K1 0.000 0.500 0.000
Tc1 0.000 0.000 0.000
Zr1 0.500 0.000 0.000
Zr2 0.000 0.000 0.500
# Total moment (Bohr magnetons per cell): 0.00
# Crystal system: tetragonal
# Space group: No. 123
# DFT total energy (eV per atom): -5.075
# DFT formation energy (eV/atom): 0.891

Entry 3:
# PBE-GGA LaRePb2, relaxed
data_LaRePb2
_chemical_formula_sum 'La1 Re1 Pb2'
_space_group_name_H-M_alt 'P 1'
_space_group_IT_number 1
_cell_length_a 6.200
_cell_length_b 6.200
_cell_length_c 6.200
_cell_angle_alpha 146.97
_cell_angle_beta 126.12
_cell_angle_gamma 64.67
loop_
_space_group_symop_operation_xyz
'x,y,z'
loop_
_atom_site_label
_atom_site_fract_x
_atom_site_fract_y
_atom_site_fract_z
La1 0.250 0.750 0.500
Re1 0.750 0.250 0.500
Pb1 0.964 0.964 0.000
Pb2 0.536 0.536 0.000
# Total moment (Bohr magnetons per cell): 0.00
# Polymorph energy (0 for the lowest one) (meV/atom): 0
# Crystal system: orthorhombic
# Space group: No. 71
# DFT total energy (eV per atom): -5.894
# DFT formation energy (eV/atom): 0.304

Entry 4:
# PBE-GGA Pr3Dy2Tm3, relaxed
data_Pr3Dy2Tm3
_chemical_formula_sum 'Pr3 Dy2 Tm3'
_space_group_name_H-M_alt 'P 1'
_space_group_IT_number 1
_cell_length_a 5.040
_cell_length_b 5.091
_cell_length_c 10.785
_cell_angle_alpha 103.65
_cell_angle_beta 103.51
_cell_angle_gamma 90.00
loop_
_space_group_symop_operation_xyz
'x,y,z'
loop_
_atom_site_label
_atom_site_fract_x
_atom_site_fract_y
_atom_site_fract_z
Pr1 0.625 0.625 0.249
Dy1 0.251 0.751 0.502
Tm1 0.000 0.500 0.000
Pr2 0.500 0.000 0.000
Dy2 0.749 0.249 0.498
Pr3 0.375 0.375 0.751
Tm2 0.873 0.873 0.747
Tm3 0.127 0.127 0.253
# Total moment (Bohr magnetons per cell): 0.00
# Polymorph energy (0 for the lowest one) (meV/atom): 0
# Crystal system: orthorhombic
# Space group: No. 71
# DFT total energy (eV per atom): -4.594
# DFT formation energy (eV/atom): 0.025

Entry 5:
# PBE-GGA PmPrAg3, relaxed
data_PmPrAg3
_chemical_formula_sum 'Pm4 Pr4 Ag12'
_space_group_name_H-M_alt 'P 1'
_space_group_IT_number 1
_cell_length_a 7.503
_cell_length_b 8.992
_cell_length_c 8.992
_cell_angle_alpha 59.98
_cell_angle_beta 90.00
_cell_angle_gamma 90.00
loop_
_space_group_symop_operation_xyz
'x,y,z'
loop_
_atom_site_label
_atom_site_fract_x
_atom_site_fract_y
_atom_site_fract_z
Ag1 0.953 0.136 0.680
Pr1 0.750 0.965 0.035
Ag2 0.047 0.864 0.320
Ag3 0.500 0.681 0.681
Ag4 0.453 0.680 0.136
Ag5 0.500 0.319 0.319
Ag6 0.547 0.320 0.864
Pm1 0.750 0.999 0.467
Ag7 0.000 0.319 0.319
Pr2 0.250 0.035 0.965
Ag8 0.953 0.320 0.864
Pm2 0.750 0.533 0.001
Ag9 0.547 0.136 0.680
Pm3 0.250 0.001 0.533
Pr3 0.250 0.482 0.518
Pm4 0.250 0.467 0.999
Ag10 0.453 0.864 0.320
Ag11 0.047 0.680 0.136
Ag12 0.000 0.681 0.681
Pr4 0.750 0.518 0.482
# Total moment (Bohr magnetons per cell): 0.72
# Polymorph energy (0 for the lowest one) (meV/atom): 68
# Crystal system: orthorhombic
# Space group: No. 63
# DFT total energy (eV per atom): -3.797
# DFT formation energy (eV/atom): -0.180

Entry 6:
# PBE-GGA Gd2YSb, relaxed
data_Gd2YSb
_chemical_formula_sum 'Gd2 Y1 Sb1'
_space_group_name_H-M_alt 'P 1'
_space_group_IT_number 1
_cell_length_a 4.917
_cell_length_b 4.785
_cell_length_c 4.785
_cell_angle_alpha 90.00
_cell_angle_beta 90.00
_cell_angle_gamma 90.00
loop_
_space_group_symop_operation_xyz
'x,y,z'
loop_
_atom_site_label
_atom_site_fract_x
_atom_site_fract_y
_atom_site_fract_z
Gd1 0.000 0.500 0.000
Y1 0.500 0.500 0.500
Sb1 0.500 0.000 0.000
Gd2 0.000 0.000 0.500
# Total moment (Bohr magnetons per cell): 15.19
# Polymorph energy (0 for the lowest one) (meV/atom): 10
# Crystal system: tetragonal
# Space group: No. 123
# DFT total energy (eV per atom): -10.202
# Uncorrected formation energy (eV/atom): -0.51